# CsErBr4

An optimized crystal structure of CsErBr4 (PBE, Alexandria via LeMat-Bulk).

a b c (Å): 12.557 12.557 10.436
angles (deg): 112.16 112.16 25.90
Sites, in units of the cell vectors:
Cs: 0.246 0.246 0.242
Cs: 0.754 0.754 0.758
Er: 0.092 0.092 0.597
Er: 0.908 0.908 0.403
Br: 0.005 0.005 0.324
Br: 0.174 0.174 0.865
Br: 0.182 0.182 0.502
Br: 0.409 0.409 0.405
Br: 0.591 0.591 0.595
Br: 0.818 0.818 0.498
Br: 0.826 0.826 0.135
Br: 0.995 0.995 0.676

Its magnetic moment is 0.00 μB per atom. The calculation puts the raw total energy at -3.87 eV/atom. As for the space-group type: C2/m (12). As for the offset from the most stable computed form: 14.3 meV/atom.

# Cs6Er3Br14

An optimized crystal structure of Cs6Er3Br14 (PBE, Alexandria via LeMat-Bulk).

a b c (Å): 13.237 13.237 7.238
angles (deg): 90.00 90.00 120.00
Sites, in units of the cell vectors:
Cs: 0.023 0.571 0.000
Cs: 0.306 0.091 0.523
Cs: 0.429 0.452 0.000
Cs: 0.548 0.977 0.000
Cs: 0.785 0.694 0.523
Cs: 0.909 0.215 0.523
Er: 0.000 0.000 0.961
Er: 0.333 0.667 0.435
Er: 0.667 0.333 0.277
Br: 0.000 0.000 0.328
Br: 0.064 0.855 0.812
Br: 0.145 0.209 0.812
Br: 0.191 0.455 0.298
Br: 0.264 0.809 0.298
Br: 0.333 0.667 0.803
Br: 0.466 0.199 0.062
Br: 0.531 0.399 0.490
Br: 0.545 0.736 0.298
Br: 0.601 0.132 0.490
Br: 0.733 0.534 0.062
Br: 0.791 0.936 0.812
Br: 0.801 0.267 0.062
Br: 0.868 0.469 0.490

Its magnetic moment is 0.03 μB per atom. The calculation puts the raw total energy at -3.59 eV/atom. As for the space-group type: P3 (143).

# CsErBr4

An optimized crystal structure of CsErBr4 (PBE, Alexandria via LeMat-Bulk).

a b c (Å): 9.836 9.836 7.079
angles (deg): 107.06 107.06 112.76
Sites, in units of the cell vectors:
Cs: 0.162 0.838 0.750
Cs: 0.838 0.162 0.250
Er: 0.425 0.575 0.250
Er: 0.575 0.425 0.750
Br: 0.148 0.527 0.288
Br: 0.274 0.371 0.788
Br: 0.371 0.274 0.288
Br: 0.473 0.852 0.212
Br: 0.527 0.148 0.788
Br: 0.629 0.726 0.712
Br: 0.726 0.629 0.212
Br: 0.852 0.473 0.712

Its magnetic moment is 0.00 μB per atom. The calculation puts the raw total energy at -3.88 eV/atom. As for the space-group type: C2/c (15). As for the offset from the most stable computed form: 0.0 meV/atom.

Q: What is the magnetic moment in the first record?
A: 0.00 μB per atom